Compound: LiTeO3
Source: the Alexandria database
Functional: PBE
Structure: optimized geometry

```
LiTeO3
1.0
4.0040 0.0000 0.0000
0.0000 4.0040 0.0000
0.0000 0.0000 4.0040
Li Te O
1 1 3
Cartesian
0.0000 0.0000 0.0000
2.0020 2.0020 2.0020
0.0000 2.0020 2.0020
2.0020 0.0000 2.0020
2.0020 2.0020 0.0000
```

* raw total energy: -5.0639 eV per atom
* symmetry: No. 221
* ρ: 4.722 g cm⁻³
* raw formation energy: -1078 meV per atom

---

Compound: LaTlCl2
Source: the Alexandria database
Functional: PBE
Structure: optimized geometry

```
LaTlCl2
1.0
-1.9631 2.2687 6.3673
1.9631 -2.2687 6.3673
1.9631 2.2687 -6.3673
La Tl Cl
1 1 2
Cartesian
0.0000 0.0000 0.0000
0.0000 2.2687 2.9989
1.9631 0.0000 2.1371
0.0000 0.0000 5.8446
```

* raw total energy: -4.0603 eV per atom
* symmetry: No. 44
* ρ: 6.063 g cm⁻³
* energy relative to the lowest polymorph listed for this composition: 112.4 meV per atom
* raw formation energy: -1314 meV per atom

---

Compound: RbCdTe3
Source: the Alexandria database
Functional: PBE
Structure: optimized geometry

```
RbCdTe3
1.0
6.6998 0.0000 0.0000
0.0000 6.6998 0.0000
0.0000 0.0000 6.6998
Rb Cd Te
1 1 3
Cartesian
0.0000 0.0000 0.0000
3.3499 3.3499 3.3499
0.0000 0.0000 3.3499
0.0000 3.3499 0.0000
3.3499 0.0000 0.0000
```

* raw total energy: -1.4379 eV per atom
* symmetry: No. 221
* ρ: 3.206 g cm⁻³
* energy relative to the lowest polymorph listed for this composition: 951.0 meV per atom
* raw formation energy: 824 meV per atom

---

Compound: SmGe2Te4
Source: the Alexandria database
Functional: PBE
Structure: optimized geometry

```
SmGe2Te4
1.0
2.1330 -7.0442 0.0000
2.1330 7.0442 0.0000
0.0000 0.0000 13.8292
Sm Ge Te
2 4 8
Cartesian
2.1330 5.6214 10.3719
2.1330 -5.6214 3.4573
2.1330 1.8776 7.7244
2.1330 1.8776 13.0193
2.1330 -1.8776 0.8098
2.1330 -1.8776 6.1047
0.0000 0.0000 0.0000
0.0000 0.0000 6.9146
2.1330 3.1635 1.7502
2.1330 3.1635 5.1643
2.1330 0.8265 10.3719
2.1330 -0.8265 3.4573
2.1330 -3.1635 8.6648
2.1330 -3.1635 12.0789
```

* raw total energy: -4.2837 eV per atom
* symmetry: No. 63
* ρ: 6.442 g cm⁻³
* raw formation energy: -495 meV per atom

---

Compound: LaPmAs2Pd5
Source: the Alexandria database
Functional: PBE
Structure: optimized geometry

```
LaPmAs2Pd5
1.0
4.2899 0.0000 0.0000
0.0000 4.2899 0.0000
0.0000 0.0000 9.4572
La Pm As Pd
1 1 2 5
Cartesian
0.0000 0.0000 0.0000
0.0000 0.0000 4.7286
2.1450 2.1450 3.4276
2.1450 2.1450 6.0296
0.0000 2.1450 2.1321
0.0000 2.1450 7.3251
2.1450 0.0000 2.1321
2.1450 0.0000 7.3251
2.1450 2.1450 0.0000
```

* raw total energy: -5.8180 eV per atom
* symmetry: No. 123
* ρ: 9.215 g cm⁻³
* energy relative to the elements: -7.42 eV per formula unit

---

Compound: PmScSiAu
Source: the Alexandria database
Functional: PBE
Structure: optimized geometry

```
PmScSiAu
1.0
0.0000 3.5266 3.5266
3.5266 0.0000 3.5266
3.5266 3.5266 0.0000
Pm Sc Si Au
1 1 1 1
Cartesian
0.0000 0.0000 0.0000
3.5266 3.5266 3.5266
5.2899 5.2899 5.2899
1.7633 1.7633 1.7633
```

* raw total energy: -5.5447 eV per atom
* symmetry: No. 216
* ρ: 7.856 g cm⁻³
* raw formation energy: -599 meV per atom

---

Compound: CaCd2BO4
Source: the Alexandria database
Functional: PBE
Structure: optimized geometry

```
CaCd2BO4
1.0
-2.3972 2.3972 4.7453
2.3972 -2.3972 4.7453
2.3972 2.3972 -4.7453
Ca Cd B O
1 2 1 4
Cartesian
0.0000 0.0000 0.0000
2.3972 0.0000 2.3727
0.0000 2.3972 2.3727
0.0000 0.0000 4.7453
0.8851 -0.8851 3.8880
1.5121 1.5121 0.8573
-0.8851 0.8851 3.8880
0.8851 0.8851 5.6026
```

* raw total energy: -5.4915 eV per atom
* symmetry: No. 121
* ρ: 5.171 g cm⁻³
* raw formation energy: -1699 meV per atom

---

Compound: CaSbW2Au
Source: the Alexandria database
Functional: PBE
Structure: optimized geometry

```
CaSbW2Au
1.0
3.3699 0.0000 0.0000
-1.6850 2.9184 0.0000
0.0000 0.0000 10.8670
Ca Sb W Au
1 1 2 1
Cartesian
0.0000 0.0000 0.0000
0.0000 1.9456 2.6464
0.0000 0.0000 4.7909
1.6850 0.9728 6.4863
0.0000 1.9456 8.6062
```

* raw total energy: -6.8467 eV per atom
* symmetry: No. 156
* ρ: 11.288 g cm⁻³
* energy relative to the lowest polymorph listed for this composition: 179.5 meV per atom
* raw formation energy: 215 meV per atom

---

- What is the formula in the fourth record?
  SmGe2Te4

---

- Number 7 is which compound?
  CaCd2BO4